[1]
AcLa5Pr2Ho | the Alexandria database | PBE | optimized geometry; electronic total energy = -4.5262 eV per atom; DFT formation energy = 238.5 meV per atom; density of states at the Fermi level = 14.61 states/eV/f.u.; space group = I4/mcm, No. 140
1.0
-4.620 4.620 7.868
4.620 -4.620 7.868
4.620 4.620 -7.868
Ac La Pr Ho
2 10 4 2
Direct
0.250 0.250 0.000
0.750 0.750 0.000
0.000 0.000 0.000
0.069 0.569 0.907
0.162 0.069 0.500
0.338 0.838 0.907
0.431 0.338 0.500
0.500 0.500 0.000
0.569 0.662 0.500
0.662 0.162 0.093
0.838 0.931 0.500
0.931 0.431 0.093
0.116 0.384 0.500
0.384 0.884 0.267
0.616 0.116 0.733
0.884 0.616 0.500
0.250 0.750 0.500
0.750 0.250 0.500


[2]
AcLa6PrHo2 | the Alexandria database | PBE | optimized geometry; electronic total energy = -4.6587 eV per atom; DFT formation energy = 102.1 meV per atom; density of states at the Fermi level = 15.14 states/eV/f.u.; space group = C2/c, No. 15
1.0
4.743 -7.787 0.000
4.743 7.787 0.000
-1.364 0.000 9.981
Ac La Pr Ho
2 12 2 4
Direct
0.027 0.973 0.750
0.973 0.027 0.250
0.011 0.554 0.684
0.108 0.751 0.052
0.249 0.892 0.448
0.297 0.509 0.878
0.446 0.989 0.816
0.491 0.703 0.622
0.509 0.297 0.378
0.554 0.011 0.184
0.703 0.491 0.122
0.751 0.108 0.552
0.892 0.249 0.948
0.989 0.446 0.316
0.408 0.592 0.250
0.592 0.408 0.750
0.199 0.300 0.546
0.300 0.199 0.046
0.700 0.801 0.954
0.801 0.700 0.454


[3]
AcLa2Pr2Ho2 | the Alexandria database | PBE | optimized geometry; electronic total energy = -4.6330 eV per atom; DFT formation energy = 35.3 meV per atom; density of states at the Fermi level = 12.47 states/eV/f.u.; space group = C2/m, No. 12
1.0
5.871 -2.597 0.000
5.871 2.597 0.000
-1.168 0.000 8.293
Ac La Pr Ho
1 2 2 2
Direct
0.000 0.000 0.000
0.140 0.140 0.430
0.860 0.860 0.570
0.284 0.284 0.852
0.716 0.716 0.148
0.427 0.427 0.291
0.573 0.573 0.709


[4]
AcLaHoPu | the Alexandria database | PBE | optimized geometry; electronic total energy = -6.7190 eV per atom; DFT formation energy = 267.4 meV per atom; density of states at the Fermi level = 15.36 states/eV/f.u.; space group = F-43m, No. 216
1.0
0.000 4.131 4.131
4.131 0.000 4.131
4.131 4.131 0.000
Ac La Ho Pu
1 1 1 1
Direct
0.000 0.000 0.000
0.750 0.750 0.750
0.250 0.250 0.250
0.500 0.500 0.500


[5]
Ac4La3HoS8 | the Alexandria database | PBE | optimized geometry; electronic total energy = -6.3499 eV per atom; density of states at the Fermi level = 7.48 states/eV/f.u.; raw formation energy = -2049 meV per atom; space group = R-3m, No. 166
1.0
4.192 2.420 6.884
-4.192 2.420 6.884
0.000 -4.840 6.884
Ac La Ho S
4 3 1 8
Direct
0.000 0.000 0.000
0.000 0.500 0.500
0.500 0.000 0.500
0.500 0.500 0.000
0.000 0.000 0.500
0.000 0.500 0.000
0.500 0.000 0.000
0.500 0.500 0.500
0.247 0.247 0.247
0.255 0.738 0.738
0.262 0.262 0.745
0.262 0.745 0.262
0.738 0.255 0.738
0.738 0.738 0.255
0.745 0.262 0.262
0.753 0.753 0.753


[6]
Ac2LaHoS4 | the Alexandria database | PBE | optimized geometry; electronic total energy = -6.2973 eV per atom; density of states at the Fermi level = 4.66 states/eV/f.u.; raw formation energy = -2018 meV per atom; space group = P2/m, No. 10
1.0
7.194 0.000 0.000
0.000 4.109 0.000
-2.354 0.000 6.917
Ac La Ho S
2 1 1 4
Direct
0.000 0.000 0.000
0.500 0.500 0.000
0.000 0.500 0.500
0.500 0.000 0.500
0.255 0.000 0.731
0.270 0.500 0.277
0.730 0.500 0.723
0.745 0.000 0.269


[7]
Ac2LaHoS6 | the Alexandria database | PBE | optimized geometry; electronic total energy = -6.3934 eV per atom; density of states at the Fermi level = 0.00 states/eV/f.u.; raw formation energy = -2145 meV per atom; space group = P2_1/c, No. 14
1.0
7.062 0.000 0.000
0.000 7.637 0.000
-6.945 0.000 10.333
Ac La Ho S
4 2 2 12
Direct
0.218 0.084 0.250
0.218 0.416 0.750
0.782 0.584 0.250
0.782 0.916 0.750
0.500 0.000 0.000
0.500 0.500 0.500
0.000 0.000 0.500
0.000 0.500 0.000
0.106 0.196 0.928
0.106 0.304 0.428
0.238 0.686 0.930
0.238 0.814 0.430
0.381 0.055 0.742
0.381 0.445 0.242
0.619 0.555 0.758
0.619 0.945 0.258
0.762 0.186 0.570
0.762 0.314 0.070
0.894 0.696 0.572
0.894 0.804 0.072


[8]
AcLaHoSc | the Alexandria database | PBE | optimized geometry; electronic total energy = -4.8906 eV per atom; DFT formation energy = 95.7 meV per atom; density of states at the Fermi level = 6.55 states/eV/f.u.; space group = F-43m, No. 216
1.0
0.000 4.085 4.085
4.085 0.000 4.085
4.085 4.085 0.000
Ac La Ho Sc
1 1 1 1
Direct
0.000 0.000 0.000
0.500 0.500 0.500
0.750 0.750 0.750
0.250 0.250 0.250


[9]
Ac2LaHoSe4 | the Alexandria database | PBE | optimized geometry; electronic total energy = -5.8052 eV per atom; density of states at the Fermi level = 4.71 states/eV/f.u.; raw formation energy = -1848 meV per atom; space group = P2/m, No. 10
1.0
7.417 0.000 0.000
0.000 4.241 0.000
-2.428 0.000 7.288
Ac La Ho Se
2 1 1 4
Direct
0.000 0.000 0.000
0.500 0.500 0.000
0.000 0.500 0.500
0.500 0.000 0.500
0.254 0.000 0.731
0.269 0.500 0.276
0.731 0.500 0.724
0.746 0.000 0.269


[10]
Ac2LaHoSe5 | the Alexandria database | PBE | optimized geometry; electronic total energy = -5.7355 eV per atom; density of states at the Fermi level = 3.63 states/eV/f.u.; raw formation energy = -1831 meV per atom; space group = Cmc2_1, No. 36
1.0
2.121 -9.025 0.000
2.121 9.025 0.000
0.000 0.000 14.370
Ac La Ho Se
4 2 2 10
Direct
0.084 0.916 0.500
0.138 0.862 0.163
0.862 0.138 0.663
0.916 0.084 0.000
0.448 0.552 0.308
0.552 0.448 0.808
0.231 0.769 0.895
0.769 0.231 0.395
0.081 0.919 0.945
0.255 0.745 0.538
0.291 0.709 0.262
0.383 0.617 0.841
0.495 0.505 0.621
0.505 0.495 0.121
0.617 0.383 0.341
0.709 0.291 0.762
0.745 0.255 0.038
0.919 0.081 0.445


[11]
Ac3La2HoSe6 | the Alexandria database | PBE | optimized geometry; electronic total energy = -5.8510 eV per atom; density of states at the Fermi level = 6.34 states/eV/f.u.; raw formation energy = -1879 meV per atom; space group = C2/m, No. 12
1.0
3.747 -6.507 0.000
3.747 6.507 0.000
-2.517 0.000 7.149
Ac La Ho Se
3 2 1 6
Direct
0.000 0.000 0.000
0.328 0.672 0.000
0.672 0.328 0.000
0.166 0.834 0.500
0.834 0.166 0.500
0.500 0.500 0.500
0.103 0.424 0.270
0.259 0.259 0.737
0.424 0.103 0.270
0.576 0.897 0.730
0.741 0.741 0.263
0.897 0.576 0.730


[12]
AcLaHo2Se4 | the Alexandria database | PBE | optimized geometry; electronic total energy = -5.8418 eV per atom; density of states at the Fermi level = 3.81 states/eV/f.u.; raw formation energy = -1826 meV per atom; space group = P2/m, No. 10
1.0
7.171 0.000 0.000
0.000 4.120 0.000
-2.377 0.000 7.209
Ac La Ho Se
1 1 2 4
Direct
0.000 0.000 0.000
0.500 0.500 0.000
0.000 0.500 0.500
0.500 0.000 0.500
0.245 0.000 0.724
0.263 0.500 0.279
0.737 0.500 0.721
0.755 0.000 0.276


[13]
AcLa2HoSe6 | the Alexandria database | PBE | optimized geometry; electronic total energy = -5.8806 eV per atom; density of states at the Fermi level = 0.00 states/eV/f.u.; raw formation energy = -1936 meV per atom; space group = R3, No. 146
1.0
3.799 2.193 6.647
-3.799 2.193 6.647
0.000 -4.387 6.647
Ac La Ho Se
1 2 1 6
Direct
0.000 0.000 0.000
0.207 0.207 0.207
0.713 0.713 0.713
0.509 0.509 0.509
0.129 0.403 0.790
0.326 0.897 0.593
0.403 0.790 0.129
0.593 0.326 0.897
0.790 0.129 0.403
0.897 0.593 0.326


[14]
AcLa3Ho2Se6 | the Alexandria database | PBE | optimized geometry; electronic total energy = -5.9529 eV per atom; density of states at the Fermi level = 6.32 states/eV/f.u.; raw formation energy = -1873 meV per atom; space group = C2/m, No. 12
1.0
3.678 -6.388 0.000
3.678 6.388 0.000
-2.477 0.000 6.961
Ac La Ho Se
1 3 2 6
Direct
0.000 0.000 0.000
0.159 0.841 0.500
0.500 0.500 0.500
0.841 0.159 0.500
0.332 0.668 0.000
0.668 0.332 0.000
0.080 0.432 0.241
0.275 0.275 0.767
0.432 0.080 0.241
0.568 0.920 0.759
0.725 0.725 0.233
0.920 0.568 0.759


[15]
Ac3LaHo2Se6 | the Alexandria database | PBE | optimized geometry; electronic total energy = -5.7738 eV per atom; density of states at the Fermi level = 5.64 states/eV/f.u.; raw formation energy = -1831 meV per atom; space group = C2/m, No. 12
1.0
3.662 -6.363 0.000
3.662 6.363 0.000
-2.461 0.000 7.262
Ac La Ho Se
3 1 2 6
Direct
0.000 0.000 0.000
0.338 0.662 0.000
0.662 0.338 0.000
0.500 0.500 0.500
0.167 0.833 0.500
0.833 0.167 0.500
0.079 0.425 0.274
0.227 0.227 0.721
0.425 0.079 0.274
0.575 0.921 0.726
0.773 0.773 0.279
0.921 0.575 0.726


[16]
AcLa5Sm2Ho | the Alexandria database | PBE | optimized geometry; electronic total energy = -4.4974 eV per atom; DFT formation energy = 253.9 meV per atom; density of states at the Fermi level = 16.17 states/eV/f.u.; space group = I4/mcm, No. 140
1.0
-4.662 4.662 7.674
4.662 -4.662 7.674
4.662 4.662 -7.674
Ac La Sm Ho
2 10 4 2
Direct
0.250 0.250 0.000
0.750 0.750 0.000
0.000 0.000 0.000
0.069 0.569 0.901
0.168 0.069 0.500
0.332 0.832 0.901
0.431 0.332 0.500
0.500 0.500 0.000
0.569 0.668 0.500
0.668 0.168 0.099
0.832 0.931 0.500
0.931 0.431 0.099
0.113 0.387 0.500
0.387 0.887 0.274
0.613 0.113 0.726
0.887 0.613 0.500
0.250 0.750 0.500
0.750 0.250 0.500


[17]
AcLaSm2Ho4 | the Alexandria database | PBE | optimized geometry; electronic total energy = -4.5695 eV per atom; DFT formation energy = 28.6 meV per atom; density of states at the Fermi level = 9.86 states/eV/f.u.; space group = C2/m, No. 12
1.0
6.316 -3.642 0.000
6.316 3.642 0.000
-4.215 0.000 11.754
Ac La Sm Ho
2 2 4 8
Direct
0.000 0.000 0.000
0.000 0.000 0.500
0.000 0.500 0.000
0.500 0.000 0.000
0.000 0.500 0.500
0.500 0.000 0.500
0.500 0.500 0.000
0.500 0.500 0.500
0.251 0.251 0.750
0.252 0.252 0.254
0.253 0.745 0.748
0.255 0.747 0.252
0.745 0.253 0.748
0.747 0.255 0.252
0.748 0.748 0.746
0.749 0.749 0.250


[18]
AcLa2Sm5Ho | the Alexandria database | PBE | optimized geometry; electronic total energy = -4.5333 eV per atom; DFT formation energy = 148.6 meV per atom; density of states at the Fermi level = 15.48 states/eV/f.u.; space group = Cmc2_1, No. 36
1.0
2.778 -11.221 0.000
2.778 11.221 0.000
0.000 0.000 10.479
Ac La Sm Ho
2 4 10 2
Direct
0.099 0.901 0.500
0.901 0.099 0.000
0.381 0.619 0.736
0.382 0.618 0.264
0.618 0.382 0.764
0.619 0.381 0.236
0.000 0.000 0.250
0.000 0.000 0.750
0.119 0.881 0.000
0.221 0.779 0.695
0.222 0.778 0.306
0.497 0.503 0.500
0.503 0.497 0.000
0.778 0.222 0.806
0.779 0.221 0.195
0.881 0.119 0.500
0.279 0.721 0.001
0.721 0.279 0.501


[19]
AcLa4Sm2Ho | the Alexandria database | PBE | optimized geometry; electronic total energy = -4.6991 eV per atom; DFT formation energy = 30.1 meV per atom; density of states at the Fermi level = 14.39 states/eV/f.u.; space group = C2/m, No. 12
1.0
5.855 -2.633 0.000
5.855 2.633 0.000
-4.778 0.000 9.442
Ac La Sm Ho
1 4 2 1
Direct
0.000 0.000 0.000
0.246 0.246 0.869
0.252 0.252 0.378
0.748 0.748 0.622
0.754 0.754 0.131
0.499 0.499 0.256
0.501 0.501 0.744
0.000 0.000 0.500


[20]
Ac2LaSm5Ho | the Alexandria database | PBE | optimized geometry; electronic total energy = -4.4459 eV per atom; DFT formation energy = 145.0 meV per atom; density of states at the Fermi level = 12.86 states/eV/f.u.; space group = Cmc2_1, No. 36
1.0
2.926 -10.222 0.000
2.926 10.222 0.000
0.000 0.000 11.004
Ac La Sm Ho
4 2 10 2
Direct
0.114 0.886 0.500
0.116 0.884 0.088
0.884 0.116 0.588
0.886 0.114 0.000
0.414 0.586 0.233
0.586 0.414 0.733
0.019 0.981 0.794
0.283 0.717 0.083
0.296 0.704 0.477
0.387 0.613 0.790
0.484 0.516 0.511
0.516 0.484 0.011
0.613 0.387 0.290
0.704 0.296 0.977
0.717 0.283 0.583
0.981 0.019 0.294
0.206 0.794 0.781
0.794 0.206 0.281